Compound: Ho5AlAg4
Source: Alexandria
Functional: PBE-GGA
Structure: optimized geometry

Unit cell a=3.5883 b=3.5883 c=18.3247 alpha=90.00 beta=90.00 gamma=90.00
Positions (direct):
Ho  0.0000  0.0000  0.0000
Ho  0.0000  0.0000  0.2008
Ho  0.0000  0.0000  0.4009
Ho  0.0000  0.0000  0.5991
Ho  0.0000  0.0000  0.7992
Al  0.5000  0.5000  0.5000
Ag  0.5000  0.5000  0.0993
Ag  0.5000  0.5000  0.3024
Ag  0.5000  0.5000  0.6976
Ag  0.5000  0.5000  0.9007

Results
DFT formation energy   -0.343 eV/atom
Crystal system   tetragonal
Total magnetization   0.0 μB/cell